[1]
Compound: PmBePd
Source: the Alexandria database
Functional: GGA-PBE
Structure: optimized geometry

```
data_PmBePd
_chemical_formula_sum 'Pm1 Be1 Pd1'
_space_group_name_H-M_alt 'P -6 m 2'
_space_group_IT_number 187
_space_group_name_Hall 'P -6 2'
_cell_length_a 4.1241
_cell_length_b 4.1241
_cell_length_c 3.9637
_cell_angle_alpha 90.00
_cell_angle_beta 90.00
_cell_angle_gamma 120.00
loop_
_atom_site_label
_atom_site_type_symbol
_atom_site_fract_x
_atom_site_fract_y
_atom_site_fract_z
_atom_site_occupancy
Pm1 Pm 0.0000 0.0000 0.0000 1
Be1 Be 0.3333 0.6667 0.5000 1
Pd1 Pd 0.6667 0.3333 0.5000 1
```

Calculated values
Excess energy over the best structure of this formula in the dataset: 0.000 eV per atom
Density of states at the Fermi level: 2.0 states/eV per cell
Total DFT energy (no corrections): -5.04 eV per atom
Magnetic moment: 0.00 μB/f.u.

[2]
Compound: Rb3AlI6
Source: the Alexandria database
Functional: GGA-PBE
Structure: optimized geometry

```
data_Rb3AlI6
_chemical_formula_sum 'Rb12 Al4 I24'
_space_group_name_H-M_alt 'F m -3 m'
_space_group_IT_number 225
_space_group_name_Hall '-F 4 2 3'
_cell_length_a 12.4739
_cell_length_b 12.4739
_cell_length_c 12.4739
_cell_angle_alpha 90.00
_cell_angle_beta 90.00
_cell_angle_gamma 90.00
loop_
_atom_site_label
_atom_site_type_symbol
_atom_site_fract_x
_atom_site_fract_y
_atom_site_fract_z
_atom_site_occupancy
Rb1 Rb 0.0000 0.0000 0.0000 1
Rb2 Rb 0.2500 0.2500 0.2500 1
Al1 Al 0.0000 0.0000 0.5000 1
I1 I 0.0000 0.0000 0.2776 1
```

Calculated values
Excess energy over the best structure of this formula in the dataset: 0.080 eV per atom
E_form (uncorrected): -1.07 eV/atom
Density of states at the Fermi level: 0.0 states/eV per cell
Total DFT energy (no corrections): -2.66 eV per atom
Magnetic moment: 0.00 μB/f.u.

[3]
Compound: Ac8TbNd5
Source: the Alexandria database
Functional: GGA-PBE
Structure: optimized geometry

```
data_Ac8TbNd5
_chemical_formula_sum 'Ac16 Tb2 Nd10'
_space_group_name_H-M_alt 'I -4'
_space_group_IT_number 82
_cell_length_a 10.3495
_cell_length_b 10.3495
_cell_length_c 10.8775
_cell_angle_alpha 90.00
_cell_angle_beta 90.00
_cell_angle_gamma 90.00
loop_
_space_group_symop_operation_xyz
'x,y,z'
'y,-x,-z'
'-x,-y,z'
'-y,x,-z'
'x+1/2,y+1/2,z+1/2'
'y+1/2,-x+1/2,-z+1/2'
'-x+1/2,-y+1/2,z+1/2'
'-y+1/2,x+1/2,-z+1/2'
loop_
_atom_site_label
_atom_site_type_symbol
_atom_site_fract_x
_atom_site_fract_y
_atom_site_fract_z
_atom_site_occupancy
Ac1 Ac 0.0675 0.3272 0.4078 1
Ac2 Ac 0.0858 0.1859 0.7467 1
Tb1 Tb 0.0000 0.5000 0.7500 1
Nd1 Nd 0.0000 0.0000 0.5000 1
Nd2 Nd 0.1000 0.2003 0.0741 1
```

Calculated values
Density of states at the Fermi level: 42.2 states/eV per cell
Total DFT energy (no corrections): -4.14 eV per atom
Magnetic moment: 0.00 μB/f.u.

[4]
Compound: RbRhSeBr2
Source: the Alexandria database
Functional: GGA-PBE
Structure: optimized geometry

```
data_RbRhSeBr2
_chemical_formula_sum 'Rb1 Rh1 Se1 Br2'
_space_group_name_H-M_alt 'P 4/m m m'
_space_group_IT_number 123
_space_group_name_Hall '-P 4 2'
_cell_length_a 5.4889
_cell_length_b 5.4889
_cell_length_c 4.7153
_cell_angle_alpha 90.00
_cell_angle_beta 90.00
_cell_angle_gamma 90.00
loop_
_atom_site_label
_atom_site_type_symbol
_atom_site_fract_x
_atom_site_fract_y
_atom_site_fract_z
_atom_site_occupancy
Rb1 Rb 0.0000 0.0000 0.0000 1
Rh1 Rh 0.5000 0.5000 0.5000 1
Se1 Se 0.5000 0.5000 0.0000 1
Br1 Br 0.0000 0.5000 0.5000 1
```

Calculated values
Excess energy over the best structure of this formula in the dataset: 0.000 eV per atom
E_form (uncorrected): -0.63 eV/atom
Density of states at the Fermi level: 4.2 states/eV per cell
Total DFT energy (no corrections): -3.66 eV per atom
Magnetic moment: 0.00 μB/f.u.

[5]
Compound: BaBeTc2
Source: the Alexandria database
Functional: GGA-PBE
Structure: optimized geometry

```
data_BaBeTc2
_chemical_formula_sum 'Ba2 Be2 Tc4'
_space_group_name_H-M_alt 'C 1 2/m 1'
_space_group_IT_number 12
_cell_length_a 5.6037
_cell_length_b 9.4471
_cell_length_c 3.0840
_cell_angle_alpha 90.00
_cell_angle_beta 118.70
_cell_angle_gamma 90.00
loop_
_space_group_symop_operation_xyz
'x,y,z'
'-x,-y,-z'
'-x,y,-z'
'x,-y,z'
'x+1/2,y+1/2,z'
'-x+1/2,-y+1/2,-z'
'-x+1/2,y+1/2,-z'
'x+1/2,-y+1/2,z'
loop_
_atom_site_label
_atom_site_type_symbol
_atom_site_fract_x
_atom_site_fract_y
_atom_site_fract_z
_atom_site_occupancy
Ba1 Ba 0.0000 0.0000 0.0000 1
Be1 Be 0.0000 0.5000 0.0000 1
Tc1 Tc 0.2500 0.2500 0.5000 1
```

Calculated values
Density of states at the Fermi level: 8.9 states/eV per cell
Total DFT energy (no corrections): -5.36 eV per atom
Magnetic moment: 0.00 μB/f.u.

[6]
Compound: La3RuBr3
Source: the Alexandria database
Functional: GGA-PBE
Structure: optimized geometry

```
data_La3RuBr3
_chemical_formula_sum 'La24 Ru8 Br24'
_space_group_name_H-M_alt 'I 41 3 2'
_space_group_IT_number 214
_space_group_name_Hall 'I 4bd 2c 3'
_cell_length_a 12.2310
_cell_length_b 12.2310
_cell_length_c 12.2310
_cell_angle_alpha 90.00
_cell_angle_beta 90.00
_cell_angle_gamma 90.00
loop_
_atom_site_label
_atom_site_type_symbol
_atom_site_fract_x
_atom_site_fract_y
_atom_site_fract_z
_atom_site_occupancy
La1 La 0.1090 0.3590 0.1250 1
Ru1 Ru 0.1250 0.1250 0.1250 1
Br1 Br 0.1195 0.1305 0.6250 1
```

Calculated values
Excess energy over the best structure of this formula in the dataset: 0.018 eV per atom
E_form (uncorrected): -1.35 eV/atom
Density of states at the Fermi level: 47.5 states/eV per cell
Total DFT energy (no corrections): -5.50 eV per atom
Magnetic moment: 0.00 μB/f.u.

[7]
Compound: SrMgSe2
Source: the Alexandria database
Functional: GGA-PBE
Structure: optimized geometry

```
data_SrMgSe2
_chemical_formula_sum 'Sr1 Mg1 Se2'
_space_group_name_H-M_alt 'P 1 m 1'
_space_group_IT_number 6
_cell_length_a 4.3004
_cell_length_b 5.9296
_cell_length_c 4.3778
_cell_angle_alpha 90.00
_cell_angle_beta 90.01
_cell_angle_gamma 90.00
loop_
_space_group_symop_operation_xyz
'x,y,z'
'x,-y,z'
loop_
_atom_site_label
_atom_site_type_symbol
_atom_site_fract_x
_atom_site_fract_y
_atom_site_fract_z
_atom_site_occupancy
Sr1 Sr 0.0000 0.0000 0.0000 1
Mg1 Mg 0.4979 0.5000 0.5743 1
Se1 Se 0.4998 0.0000 0.4943 1
Se2 Se 0.9982 0.5000 0.9289 1
```

Calculated values
E_form (uncorrected): -1.51 eV/atom
Total DFT energy (no corrections): -4.08 eV per atom
Magnetic moment: 0.00 μB/f.u.

[8]
Compound: La5Pm3Ho2
Source: the Alexandria database
Functional: GGA-PBE
Structure: optimized geometry

```
data_La5Pm3Ho2
_chemical_formula_sum 'La20 Pm12 Ho8'
_space_group_name_H-M_alt 'C 1 2/c 1'
_space_group_IT_number 15
_cell_length_a 10.9969
_cell_length_b 14.9808
_cell_length_c 10.2293
_cell_angle_alpha 90.00
_cell_angle_beta 122.38
_cell_angle_gamma 90.00
loop_
_space_group_symop_operation_xyz
'x,y,z'
'-x,-y,-z'
'-x,y,-z+1/2'
'x,-y,z+1/2'
'x+1/2,y+1/2,z'
'-x+1/2,-y+1/2,-z'
'-x+1/2,y+1/2,-z+1/2'
'x+1/2,-y+1/2,z+1/2'
loop_
_atom_site_label
_atom_site_type_symbol
_atom_site_fract_x
_atom_site_fract_y
_atom_site_fract_z
_atom_site_occupancy
La1 La 0.0000 0.0226 0.2500 1
La2 La 0.0000 0.2307 0.2500 1
La3 La 0.0000 0.2767 0.7500 1
La4 La 0.2430 0.3777 0.2396 1
Pm1 Pm 0.0000 0.4813 0.7500 1
Pm2 Pm 0.1518 0.1251 0.0580 1
Ho1 Ho 0.1564 0.3773 0.5599 1
```

Calculated values
Density of states at the Fermi level: 67.3 states/eV per cell
Total DFT energy (no corrections): -4.66 eV per atom
Magnetic moment: 0.00 μB/f.u.

[9]
Compound: Zr2FeW
Source: the Alexandria database
Functional: GGA-PBE
Structure: optimized geometry

```
data_Zr2FeW
_chemical_formula_sum 'Zr6 Fe3 W3'
_space_group_name_H-M_alt 'R -3 m'
_space_group_IT_number 166
_space_group_name_Hall '-R 3 2"'
_cell_length_a 3.1087
_cell_length_b 3.1087
_cell_length_c 25.9769
_cell_angle_alpha 90.00
_cell_angle_beta 90.00
_cell_angle_gamma 120.00
loop_
_atom_site_label
_atom_site_type_symbol
_atom_site_fract_x
_atom_site_fract_y
_atom_site_fract_z
_atom_site_occupancy
Zr1 Zr 0.0000 0.0000 0.2432 1
Fe1 Fe 0.0000 0.0000 0.5000 1
W1 W 0.0000 0.0000 0.0000 1
```

Calculated values
Excess energy over the best structure of this formula in the dataset: 0.295 eV per atom
Density of states at the Fermi level: 15.2 states/eV per cell
Total DFT energy (no corrections): -9.29 eV per atom
Magnetic moment: 0.89 μB/f.u.

[10]
Compound: NaEr2Sc
Source: the Alexandria database
Functional: GGA-PBE
Structure: optimized geometry

```
data_NaEr2Sc
_chemical_formula_sum 'Na1 Er2 Sc1'
_space_group_name_H-M_alt 'P 4/m m m'
_space_group_IT_number 123
_space_group_name_Hall '-P 4 2'
_cell_length_a 3.4395
_cell_length_b 3.4395
_cell_length_c 10.2116
_cell_angle_alpha 90.00
_cell_angle_beta 90.00
_cell_angle_gamma 90.00
loop_
_atom_site_label
_atom_site_type_symbol
_atom_site_fract_x
_atom_site_fract_y
_atom_site_fract_z
_atom_site_occupancy
Na1 Na 0.0000 0.0000 0.0000 1
Er1 Er 0.5000 0.5000 0.2802 1
Sc1 Sc 0.0000 0.0000 0.5000 1
```

Calculated values
Excess energy over the best structure of this formula in the dataset: 0.000 eV per atom
Density of states at the Fermi level: 4.1 states/eV per cell
Total DFT energy (no corrections): -4.05 eV per atom
Magnetic moment: 0.00 μB/f.u.

[11]
Compound: La6Sb3TeAs2
Source: the Alexandria database
Functional: GGA-PBE
Structure: optimized geometry

```
data_La6Sb3TeAs2
_chemical_formula_sum 'La12 Sb6 Te2 As4'
_space_group_name_H-M_alt 'C 1 2/m 1'
_space_group_IT_number 12
_cell_length_a 19.7421
_cell_length_b 4.5285
_cell_length_c 9.0910
_cell_angle_alpha 90.00
_cell_angle_beta 103.16
_cell_angle_gamma 90.00
loop_
_space_group_symop_operation_xyz
'x,y,z'
'-x,-y,-z'
'-x,y,-z'
'x,-y,z'
'x+1/2,y+1/2,z'
'-x+1/2,-y+1/2,-z'
'-x+1/2,y+1/2,-z'
'x+1/2,-y+1/2,z'
loop_
_atom_site_label
_atom_site_type_symbol
_atom_site_fract_x
_atom_site_fract_y
_atom_site_fract_z
_atom_site_occupancy
La1 La 0.0057 0.0000 0.2583 1
La2 La 0.1703 0.5000 0.0967 1
La3 La 0.1704 0.5000 0.5753 1
Sb1 Sb 0.0000 0.5000 0.5000 1
Sb2 Sb 0.1634 0.0000 0.8329 1
Te1 Te 0.0000 0.5000 0.0000 1
As1 As 0.1675 0.0000 0.3337 1
```

Calculated values
E_form (uncorrected): -1.44 eV/atom
Density of states at the Fermi level: 5.2 states/eV per cell
Total DFT energy (no corrections): -5.98 eV per atom
Magnetic moment: 0.00 μB/f.u.

- The highest magnetic moment belongs to which entry?
  Zr2FeW